1.
# Tl7In16Hg6

A geometry-optimized Tl7In16Hg6 structure (GGA-PBE, the Alexandria database).

The space group is Fm-3m, No. 225. The calculation puts the formation energy at 0.092 eV per atom. As for the magnetic moment: 0.000 μB per formula unit.

abc: 10.6919 10.6919 10.6919
angles: 60.00 60.00 60.00
Last column: nearest neighbours and their distance in Å.
Positions (direct):
Tl: 0.5000 0.5000 0.5000  8 In 3.21
Tl: 0.5000 0.0000 0.5000  8 In 3.22-3.29
Tl: 0.0000 0.5000 0.0000  8 In 3.22-3.29
Tl: 0.5000 0.0000 0.0000  8 In 3.22-3.29
Tl: 0.0000 0.5000 0.5000  8 In 3.22-3.29
Tl: 0.5000 0.5000 0.0000  8 In 3.22-3.29
Tl: 0.0000 0.0000 0.5000  8 In 3.22-3.29
In: 0.3935 0.8688 0.8688  3 Hg 3.13, 3 Tl 3.22
In: 0.8688 0.3935 0.8688  3 Hg 3.13, 3 Tl 3.22
In: 0.8688 0.8688 0.8688  3 Hg 3.13, 3 Tl 3.22
In: 0.8688 0.8688 0.3935  3 Hg 3.13, 3 Tl 3.22
In: 0.1312 0.6065 0.1312  3 Hg 3.13, 3 Tl 3.22
In: 0.6065 0.1312 0.1312  3 Hg 3.13, 3 Tl 3.22
In: 0.1312 0.1312 0.1312  3 Hg 3.13, 3 Tl 3.22
In: 0.1312 0.1312 0.6065  3 Hg 3.13, 3 Tl 3.22
In: 0.1321 0.6226 0.6226  4 Tl 3.21-3.29, 3 Hg 3.52
In: 0.6226 0.1321 0.6226  4 Tl 3.21-3.29, 3 Hg 3.52
In: 0.6226 0.6226 0.6226  4 Tl 3.21-3.29, 3 Hg 3.52
In: 0.6226 0.6226 0.1321  4 Tl 3.21-3.29, 3 Hg 3.52
In: 0.3774 0.8679 0.3774  4 Tl 3.21-3.29, 3 Hg 3.52
In: 0.8679 0.3774 0.3774  4 Tl 3.21-3.29, 3 Hg 3.52
In: 0.3774 0.3774 0.3774  4 Tl 3.21-3.29, 3 Hg 3.52
In: 0.3774 0.3774 0.8679  4 Tl 3.21-3.29, 3 Hg 3.52
Hg: 0.2225 0.7775 0.2225  4 In 3.13
Hg: 0.7775 0.2225 0.7775  4 In 3.13
Hg: 0.2225 0.7775 0.7775  4 In 3.13
Hg: 0.7775 0.2225 0.2225  4 In 3.13
Hg: 0.2225 0.2225 0.7775  4 In 3.13
Hg: 0.7775 0.7775 0.2225  4 In 3.13

2.
# TlInHg

A geometry-optimized TlInHg structure (GGA-PBE, the Alexandria database).

The space group is P1, No. 1. The calculation puts the formation energy at 0.013 eV per atom. As for the magnetic moment: 0.000 μB per formula unit.

abc: 3.7115 8.5263 6.6358
angles: 70.04 74.48 59.86
Last column: nearest neighbours and their distance in Å.
Positions (direct):
Tl: 0.7025 0.5515 0.7981  4 Hg 3.28-3.52, 3 In 3.38-3.65, 2 Tl 3.49-3.54
Tl: 0.8411 0.7181 0.1777  3 Hg 3.29-3.63, 4 In 3.31-3.54, 2 Tl 3.49-3.54
Hg: 0.3739 0.2163 0.1386  4 In 3.10-3.23, 1 Hg 3.24, 1 Tl 3.31
Hg: 0.9804 0.8993 0.5004  3 In 3.14-3.33, 1 Hg 3.24, 4 Tl 3.28-3.43
In: 0.1804 0.0514 0.8301  4 Hg 3.10-3.29, 1 In 3.22, 1 Tl 3.31
In: 0.5761 0.3549 0.4652  3 Hg 3.11-3.33, 1 In 3.22, 3 Tl 3.31-3.43

3.
# TlIn2Hg4

A geometry-optimized TlIn2Hg4 structure (GGA-PBE, the Alexandria database).

As for the polymorph energy (0 for the lowest one): 4 meV per atom. The space group is C2/m, No. 12. The calculation puts the formation energy at 0.008 eV per atom. As for the magnetic moment: 0.000 μB per formula unit.

abc: 4.1737 4.1737 14.9416
angles: 88.32 88.32 49.47
Last column: nearest neighbours and their distance in Å.
Positions (direct):
Tl: 0.0000 0.0000 0.0000  6 Hg 3.17-3.27, 2 Tl 3.49
Hg: 0.8553 0.8553 0.4311  3 In 3.05-3.12, 3 Hg 3.06-3.10
Hg: 0.7173 0.7173 0.8478  3 In 3.07-3.14, 3 Tl 3.17-3.27
Hg: 0.2827 0.2827 0.1522  3 In 3.07-3.14, 3 Tl 3.17-3.27
Hg: 0.1447 0.1447 0.5689  3 In 3.05-3.12, 3 Hg 3.06-3.10
In: 0.5691 0.5691 0.2925  6 Hg 3.05-3.14
In: 0.4309 0.4309 0.7075  6 Hg 3.05-3.14